Entry 1:
# Fe3SiPb, relaxed, DFT GGA-PBEsol
# - SG = Pm-3m (221)
# - calculated volume (Å³ per atom) = 21.67
# - E_form (uncorrected) (eV/atom) = 1.93
data_Fe3SiPb
_chemical_formula_sum 'Fe3 Si1 Pb1'
_space_group_name_H-M_alt 'P 1'
_space_group_IT_number 1
_cell_length_a 4.768
_cell_length_b 4.768
_cell_length_c 4.768
_cell_angle_alpha 90.00
_cell_angle_beta 90.00
_cell_angle_gamma 90.00
loop_
_space_group_symop_operation_xyz
'x,y,z'
loop_
_atom_site_label
_atom_site_fract_x
_atom_site_fract_y
_atom_site_fract_z
_atom_site_occupancy
Fe1 0.000 0.000 0.500 1
Fe2 0.000 0.500 0.000 1
Fe3 0.500 0.000 0.000 1
Si1 0.500 0.500 0.500 1
Pb1 0.000 0.000 0.000 1



Entry 2:
# LaBHAu2, relaxed, DFT GGA-PBEsol
# - SG = P4/mmm (123)
# - calculated volume (Å³ per atom) = 33.49
# - final energy (eV per atom) = -3.011
data_LaBHAu2
_chemical_formula_sum 'La1 B1 H1 Au2'
_space_group_name_H-M_alt 'P 1'
_space_group_IT_number 1
_cell_length_a 5.660
_cell_length_b 5.660
_cell_length_c 5.226
_cell_angle_alpha 90.00
_cell_angle_beta 90.00
_cell_angle_gamma 90.00
loop_
_space_group_symop_operation_xyz
'x,y,z'
loop_
_atom_site_label
_atom_site_fract_x
_atom_site_fract_y
_atom_site_fract_z
_atom_site_occupancy
La1 0.000 0.000 0.000 1
B1 0.000 0.000 0.500 1
H1 0.500 0.500 0.500 1
Au1 0.000 0.500 0.000 1
Au2 0.500 0.000 0.000 1



Entry 3:
# MoIrC2Se, relaxed, DFT GGA-PBEsol
# - SG = P4/mmm (123)
# - calculated volume (Å³ per atom) = 14.03
# - E_form (uncorrected) (eV/atom) = 2.70
data_MoIrC2Se
_chemical_formula_sum 'Mo1 Ir1 C2 Se1'
_space_group_name_H-M_alt 'P 1'
_space_group_IT_number 1
_cell_length_a 3.788
_cell_length_b 3.788
_cell_length_c 4.889
_cell_angle_alpha 90.00
_cell_angle_beta 90.00
_cell_angle_gamma 90.00
loop_
_space_group_symop_operation_xyz
'x,y,z'
loop_
_atom_site_label
_atom_site_fract_x
_atom_site_fract_y
_atom_site_fract_z
_atom_site_occupancy
Mo1 0.000 0.000 0.000 1
Ir1 0.500 0.500 0.000 1
C1 0.000 0.500 0.500 1
C2 0.500 0.000 0.500 1
Se1 0.000 0.000 0.500 1



Entry 4:
# CaAl4Re, relaxed, DFT GGA-PBEsol
# - SG = F-43m (216)
# - calculated volume (Å³ per atom) = 16.45
# - formation enthalpy at 0 K (eV/atom) = 0.027
data_CaAl4Re
_chemical_formula_sum 'Ca1 Al4 Re1'
_space_group_name_H-M_alt 'P 1'
_space_group_IT_number 1
_cell_length_a 5.187
_cell_length_b 5.187
_cell_length_c 5.187
_cell_angle_alpha 60.00
_cell_angle_beta 60.00
_cell_angle_gamma 60.00
loop_
_space_group_symop_operation_xyz
'x,y,z'
loop_
_atom_site_label
_atom_site_fract_x
_atom_site_fract_y
_atom_site_fract_z
_atom_site_occupancy
Ca1 0.000 0.000 0.000 1
Al1 0.376 0.376 0.376 1
Al2 0.376 0.376 0.873 1
Al3 0.376 0.873 0.376 1
Al4 0.873 0.376 0.376 1
Re1 0.750 0.750 0.750 1



Entry 5:
# Na4Mg, relaxed, DFT GGA-PBEsol
# - SG = I4/mmm (139)
# - calculated volume (Å³ per atom) = 35.01
# - formation enthalpy at 0 K (eV/atom) = 0.195
data_Na4Mg
_chemical_formula_sum 'Na8 Mg2'
_space_group_name_H-M_alt 'P 1'
_space_group_IT_number 1
_cell_length_a 4.492
_cell_length_b 4.492
_cell_length_c 17.346
_cell_angle_alpha 90.00
_cell_angle_beta 90.00
_cell_angle_gamma 90.00
loop_
_space_group_symop_operation_xyz
'x,y,z'
loop_
_atom_site_label
_atom_site_fract_x
_atom_site_fract_y
_atom_site_fract_z
_atom_site_occupancy
Na1 0.000 0.000 0.091 1
Na2 0.000 0.000 0.909 1
Na3 0.000 0.500 0.250 1
Na4 0.000 0.500 0.750 1
Na5 0.500 0.000 0.250 1
Na6 0.500 0.000 0.750 1
Na7 0.500 0.500 0.409 1
Na8 0.500 0.500 0.591 1
Mg1 0.000 0.000 0.500 1
Mg2 0.500 0.500 0.000 1



Entry 6:
# LaInRu, relaxed, DFT GGA-PBEsol
# - SG = F-43m (216)
# - calculated volume (Å³ per atom) = 24.47
# - formation enthalpy at 0 K (eV/atom) = -0.123
data_LaInRu
_chemical_formula_sum 'La4 In4 Ru4'
_space_group_name_H-M_alt 'P 1'
_space_group_IT_number 1
_cell_length_a 6.646
_cell_length_b 6.646
_cell_length_c 6.646
_cell_angle_alpha 90.00
_cell_angle_beta 90.00
_cell_angle_gamma 90.00
loop_
_space_group_symop_operation_xyz
'x,y,z'
loop_
_atom_site_label
_atom_site_fract_x
_atom_site_fract_y
_atom_site_fract_z
_atom_site_occupancy
La1 0.000 0.000 0.000 1
La2 0.000 0.500 0.500 1
La3 0.500 0.000 0.500 1
La4 0.500 0.500 0.000 1
In1 0.000 0.000 0.500 1
In2 0.000 0.500 0.000 1
In3 0.500 0.000 0.000 1
In4 0.500 0.500 0.500 1
Ru1 0.250 0.250 0.750 1
Ru2 0.250 0.750 0.250 1
Ru3 0.750 0.250 0.250 1
Ru4 0.750 0.750 0.750 1



Entry 7:
# Sr2MnHg, relaxed, DFT GGA-PBEsol
# - SG = P4mm (99)
# - calculated volume (Å³ per atom) = 30.88
# - formation enthalpy at 0 K (eV/atom) = 0.154
data_Sr2MnHg
_chemical_formula_sum 'Sr2 Mn1 Hg1'
_space_group_name_H-M_alt 'P 1'
_space_group_IT_number 1
_cell_length_a 3.734
_cell_length_b 3.734
_cell_length_c 8.856
_cell_angle_alpha 90.00
_cell_angle_beta 90.00
_cell_angle_gamma 90.00
loop_
_space_group_symop_operation_xyz
'x,y,z'
loop_
_atom_site_label
_atom_site_fract_x
_atom_site_fract_y
_atom_site_fract_z
_atom_site_occupancy
Sr1 0.000 0.000 0.000 1
Sr2 0.500 0.500 0.386 1
Mn1 0.500 0.500 0.749 1
Hg1 0.000 0.000 0.629 1



Entry 8:
# ZrHgGeS2, relaxed, DFT GGA-PBEsol
# - SG = P4/mmm (123)
# - calculated volume (Å³ per atom) = 22.54
# - E_form (uncorrected) (eV/atom) = 0.40
data_ZrHgGeS2
_chemical_formula_sum 'Zr1 Hg1 Ge1 S2'
_space_group_name_H-M_alt 'P 1'
_space_group_IT_number 1
_cell_length_a 4.655
_cell_length_b 4.655
_cell_length_c 5.202
_cell_angle_alpha 90.00
_cell_angle_beta 90.00
_cell_angle_gamma 90.00
loop_
_space_group_symop_operation_xyz
'x,y,z'
loop_
_atom_site_label
_atom_site_fract_x
_atom_site_fract_y
_atom_site_fract_z
_atom_site_occupancy
Zr1 0.000 0.000 0.000 1
Hg1 0.500 0.500 0.000 1
Ge1 0.000 0.000 0.500 1
S1 0.000 0.500 0.500 1
S2 0.500 0.000 0.500 1



Entry 9:
# PdNF2, relaxed, DFT GGA-PBEsol
# - SG = R-3m (166)
# - calculated volume (Å³ per atom) = 10.80
# - E_form (uncorrected) (eV/atom) = 0.74
# - polymorph energy (0 for the lowest one) (kcal/mol of atoms) = 0.00
data_PdNF2
_chemical_formula_sum 'Pd3 N3 F6'
_space_group_name_H-M_alt 'P 1'
_space_group_IT_number 1
_cell_length_a 2.633
_cell_length_b 2.633
_cell_length_c 21.574
_cell_angle_alpha 90.00
_cell_angle_beta 90.00
_cell_angle_gamma 120.00
loop_
_space_group_symop_operation_xyz
'x,y,z'
loop_
_atom_site_label
_atom_site_fract_x
_atom_site_fract_y
_atom_site_fract_z
_atom_site_occupancy
Pd1 0.000 0.000 0.000 1
Pd2 0.333 0.667 0.667 1
Pd3 0.667 0.333 0.333 1
N1 0.000 0.000 0.500 1
N2 0.333 0.667 0.167 1
N3 0.667 0.333 0.833 1
F1 0.000 0.000 0.422 1
F2 0.000 0.000 0.578 1
F3 0.333 0.667 0.089 1
F4 0.333 0.667 0.244 1
F5 0.667 0.333 0.756 1
F6 0.667 0.333 0.911 1



Entry 10:
# La3SiI3, relaxed, DFT GGA-PBEsol
# - SG = I4_132 (214)
# - calculated volume (Å³ per atom) = 34.69
# - E_form (uncorrected) (eV/atom) = -1.26
data_La3SiI3
_chemical_formula_sum 'La12 Si4 I12'
_space_group_name_H-M_alt 'P 1'
_space_group_IT_number 1
_cell_length_a 10.806
_cell_length_b 10.806
_cell_length_c 10.806
_cell_angle_alpha 109.47
_cell_angle_beta 109.47
_cell_angle_gamma 109.47
loop_
_space_group_symop_operation_xyz
'x,y,z'
loop_
_atom_site_label
_atom_site_fract_x
_atom_site_fract_y
_atom_site_fract_z
_atom_site_occupancy
La1 0.014 0.027 0.264 1
La2 0.014 0.486 0.750 1
La3 0.027 0.264 0.014 1
La4 0.236 0.264 0.750 1
La5 0.236 0.473 0.486 1
La6 0.264 0.014 0.027 1
La7 0.264 0.750 0.236 1
La8 0.473 0.486 0.236 1
La9 0.486 0.236 0.473 1
La10 0.486 0.750 0.014 1
La11 0.750 0.014 0.486 1
La12 0.750 0.236 0.264 1
Si1 0.000 0.250 0.500 1
Si2 0.250 0.250 0.250 1
Si3 0.250 0.500 0.000 1
Si4 0.500 0.000 0.250 1
I1 0.250 0.760 0.740 1
I2 0.250 0.990 0.510 1
I3 0.510 0.250 0.990 1
I4 0.510 0.760 0.520 1
I5 0.520 0.510 0.760 1
I6 0.740 0.250 0.760 1
I7 0.740 0.990 0.980 1
I8 0.760 0.520 0.510 1
I9 0.760 0.740 0.250 1
I10 0.980 0.740 0.990 1
I11 0.990 0.510 0.250 1
I12 0.990 0.980 0.740 1



Entry 11:
# AlTl2Os, relaxed, DFT GGA-PBEsol
# - SG = Imm2 (44)
# - calculated volume (Å³ per atom) = 21.38
# - polymorph energy (0 for the lowest one) (kcal/mol of atoms) = 0.15
# - formation enthalpy at 0 K (eV/atom) = 0.462
data_AlTl2Os
_chemical_formula_sum 'Al2 Tl4 Os2'
_space_group_name_H-M_alt 'P 1'
_space_group_IT_number 1
_cell_length_a 2.986
_cell_length_b 4.603
_cell_length_c 12.446
_cell_angle_alpha 90.00
_cell_angle_beta 90.00
_cell_angle_gamma 90.00
loop_
_space_group_symop_operation_xyz
'x,y,z'
loop_
_atom_site_label
_atom_site_fract_x
_atom_site_fract_y
_atom_site_fract_z
_atom_site_occupancy
Al1 0.000 0.000 0.000 1
Al2 0.500 0.500 0.500 1
Tl1 0.000 0.000 0.375 1
Tl2 0.000 0.500 0.175 1
Tl3 0.500 0.000 0.675 1
Tl4 0.500 0.500 0.875 1
Os1 0.000 0.500 0.661 1
Os2 0.500 0.000 0.161 1



Entry 12:
# HgHPd2, relaxed, DFT GGA-PBEsol
# - SG = I-42d (122)
# - calculated volume (Å³ per atom) = 13.44
# - final energy (eV per atom) = -4.069
data_HgHPd2
_chemical_formula_sum 'Hg4 H4 Pd8'
_space_group_name_H-M_alt 'P 1'
_space_group_IT_number 1
_cell_length_a 5.973
_cell_length_b 5.973
_cell_length_c 6.029
_cell_angle_alpha 90.00
_cell_angle_beta 90.00
_cell_angle_gamma 90.00
loop_
_space_group_symop_operation_xyz
'x,y,z'
loop_
_atom_site_label
_atom_site_fract_x
_atom_site_fract_y
_atom_site_fract_z
_atom_site_occupancy
Hg1 0.000 0.000 0.000 1
Hg2 0.000 0.500 0.250 1
Hg3 0.500 0.000 0.750 1
Hg4 0.500 0.500 0.500 1
H1 0.000 0.000 0.500 1
H2 0.000 0.500 0.750 1
H3 0.500 0.000 0.250 1
H4 0.500 0.500 0.000 1
Pd1 0.128 0.750 0.625 1
Pd2 0.250 0.128 0.375 1
Pd3 0.250 0.372 0.875 1
Pd4 0.372 0.750 0.125 1
Pd5 0.628 0.250 0.125 1
Pd6 0.750 0.628 0.875 1
Pd7 0.750 0.872 0.375 1
Pd8 0.872 0.250 0.625 1



Repeat the eleventh record exactly.
# AlTl2Os, relaxed, DFT GGA-PBEsol
# - SG = Imm2 (44)
# - calculated volume (Å³ per atom) = 21.38
# - polymorph energy (0 for the lowest one) (kcal/mol of atoms) = 0.15
# - formation enthalpy at 0 K (eV/atom) = 0.462
data_AlTl2Os
_chemical_formula_sum 'Al2 Tl4 Os2'
_space_group_name_H-M_alt 'P 1'
_space_group_IT_number 1
_cell_length_a 2.986
_cell_length_b 4.603
_cell_length_c 12.446
_cell_angle_alpha 90.00
_cell_angle_beta 90.00
_cell_angle_gamma 90.00
loop_
_space_group_symop_operation_xyz
'x,y,z'
loop_
_atom_site_label
_atom_site_fract_x
_atom_site_fract_y
_atom_site_fract_z
_atom_site_occupancy
Al1 0.000 0.000 0.000 1
Al2 0.500 0.500 0.500 1
Tl1 0.000 0.000 0.375 1
Tl2 0.000 0.500 0.175 1
Tl3 0.500 0.000 0.675 1
Tl4 0.500 0.500 0.875 1
Os1 0.000 0.500 0.661 1
Os2 0.500 0.000 0.161 1